# Pm5Fe2I2

A geometry-optimized Pm5Fe2I2 structure (GGA-PBE, Alexandria).

Cell and atoms, written as CIF:
```
data_Pm5Fe2I2
_chemical_formula_sum 'Pm20 Fe8 I8'
_cell_length_a 16.883
_cell_length_b 7.884
_cell_length_c 7.879
_cell_angle_alpha 90.00
_cell_angle_beta 90.00
_cell_angle_gamma 90.00
_space_group_name_H-M_alt 'C m c e'
_space_group_IT_number 64
_space_group_name_Hall '-C 2ac 2'
loop_
_atom_site_label
_atom_site_fract_x
_atom_site_fract_y
_atom_site_fract_z
Pm1 0.000 0.000 0.000
Pm2 0.109 0.163 0.337
Fe1 0.000 0.114 0.612
I1 0.213 0.000 0.000
```

Results
Electronic total energy ... -186.99 eV per cell
Formation energy without anion corrections ... -0.330 eV per atom